Compound: PmPa2CoO8
Source: the Alexandria database
Functional: PBE with a Hubbard U
Structure: relaxed

a = 6.649 Å, b = 6.649 Å, c = 6.649 Å
α = 132.20°, β = 132.20°, γ = 69.92°
Sites, in units of the cell vectors:
Pm 0.000 0.000 0.000
Pa 0.250 0.750 0.500
Pa 0.500 0.500 0.000
Co 0.750 0.250 0.500
O 0.068 0.135 0.516
O 0.212 0.691 0.102
O 0.309 0.411 0.521
O 0.448 0.932 0.067
O 0.589 0.109 0.898
O 0.619 0.552 0.484
O 0.865 0.381 0.933
O 0.891 0.788 0.479

Calculated values
Crystal system: tetragonal
Space group: I-4
DFT total energy, eV/atom: -8.717



Compound: PmPaCo2O8
Source: the Alexandria database
Functional: PBE with a Hubbard U
Structure: relaxed

a = 6.041 Å, b = 6.041 Å, c = 6.041 Å
α = 106.57°, β = 106.57°, γ = 115.43°
Sites, in units of the cell vectors:
Pm 0.000 0.000 0.000
Pa 0.250 0.750 0.500
Co 0.500 0.500 0.000
Co 0.750 0.250 0.500
O 0.324 0.131 0.808
O 0.324 0.516 0.192
O 0.379 0.056 0.322
O 0.484 0.676 0.808
O 0.734 0.056 0.678
O 0.869 0.676 0.192
O 0.944 0.266 0.322
O 0.944 0.621 0.678

Calculated values
Crystal system: tetragonal
DOS at the Fermi energy, states/eV/cell: 0.4
Space group: I-4m2
DFT total energy, eV/atom: -7.424



Compound: PrPaCoO6
Source: the Alexandria database
Functional: PBE with a Hubbard U
Structure: relaxed

a = 5.386 Å, b = 5.386 Å, c = 4.851 Å
α = 90.00°, β = 90.00°, γ = 120.00°
Sites, in units of the cell vectors:
Pr 0.000 0.000 0.000
Pa 0.667 0.333 0.500
Co 0.333 0.667 0.000
O 0.024 0.394 0.236
O 0.024 0.630 0.764
O 0.370 0.394 0.764
O 0.370 0.976 0.236
O 0.606 0.630 0.236
O 0.606 0.976 0.764

Calculated values
Crystal system: trigonal
Space group: P312
DFT total energy, eV/atom: -7.825



Q: Among the records above, which one has the highest DFT total energy?
A: PmPaCo2O8



Q: The highest DFT total energy belongs to which entry?
A: PmPaCo2O8



Q: DFT total energy of number 1 (PmPa2CoO8)?
A: -8.717 eV/atom



Q: What is the DFT total energy in the third record?
A: -7.825 eV/atom